[1]
Here is a PBEsol-optimized structure of YZn12 from the Alexandria database. Energies are from SCAN.

Results
- DOS at the Fermi energy: 2.23 states/eV/f.u.
- E_tot: -193.1 eV/f.u.
- Total magnetic moment: 0.00 μB/f.u.
- Symmetry: I4/mmm

a = 6.6760 Å, b = 6.6760 Å, c = 6.6760 Å
α = 98.20°, β = 98.20°, γ = 135.61°
With the nearest neighbours (Å) after each atom.
Sites, in units of the cell vectors:
Y1 0.0000 0.0000 0.0000  20 Zn 3.10-3.34
Zn1 0.0000 0.0000 0.5000  10 Zn 2.52-2.68
Zn2 0.0000 0.3543 0.3543  9 Zn 2.55-2.79
Zn3 0.0000 0.5000 0.0000  10 Zn 2.52-2.68
Zn4 0.0000 0.6457 0.6457  9 Zn 2.55-2.79
Zn5 0.2835 0.5000 0.7835  10 Zn 2.54-2.79
Zn6 0.3543 0.0000 0.3543  9 Zn 2.55-2.79
Zn7 0.5000 0.0000 0.0000  10 Zn 2.52-2.68
Zn8 0.5000 0.2835 0.7835  10 Zn 2.54-2.79
Zn9 0.5000 0.5000 0.5000  10 Zn 2.52-2.68
Zn10 0.5000 0.7165 0.2165  10 Zn 2.54-2.79
Zn11 0.6457 0.0000 0.6457  9 Zn 2.55-2.79
Zn12 0.7165 0.5000 0.2165  10 Zn 2.54-2.79

***

[2]
Here is a PBEsol-optimized structure of LaAgHg2 from the Alexandria database. Energies are from SCAN.

Results
- DOS at the Fermi energy: 2.97 states/eV/f.u.
- E_tot: -212.3 eV/f.u.
- Total magnetic moment: 0.00 μB/f.u.
- Symmetry: P4/mmm

a = 3.5541 Å, b = 3.5541 Å, c = 7.2578 Å
α = 90.00°, β = 90.00°, γ = 90.00°
With the nearest neighbours (Å) after each atom.
Sites, in units of the cell vectors:
La1 0.0000 0.0000 0.0000  8 Hg 3.27, 4 La 3.55, 2 Ag 3.63
Ag1 0.0000 0.0000 0.5000  8 Hg 2.94
Hg1 0.5000 0.5000 0.2890  4 Ag 2.94, 1 Hg 3.06, 4 La 3.27
Hg2 0.5000 0.5000 0.7110  4 Ag 2.94, 1 Hg 3.06, 4 La 3.27